# 1
Compound: LiBS2
Source: Alexandria
Functional: PBE
Structure: optimized geometry

abc: 3.2513 3.2513 4.6649
angles: 90.00 90.00 90.00
Closest atoms and distances in Å follow each position.
Space group P4/mmm (No. 123)
Symmetry-distinct sites (fractional):
Li  0.0000  0.0000  0.0000  6 S 2.30-2.33
B  0.5000  0.5000  0.5000  6 S 2.30-2.33
S  0.0000  0.0000  0.5000  4 B 2.30, 2 Li 2.33
S  0.5000  0.5000  0.0000  4 Li 2.30, 2 B 2.33

- calculated volume (Å³/f.u.) = 49
- raw formation energy (meV/atom) = 175

# 2
Compound: LiBS2
Source: Alexandria
Functional: PBE
Structure: optimized geometry

abc: 11.5263 7.5377 3.7828
angles: 90.00 107.98 90.00
Closest atoms and distances in Å follow each position.
Space group C2/m (No. 12)
Symmetry-distinct sites (fractional):
Li  0.2500  0.2500  0.0000  4 S 2.60-2.74, 2 B 2.90
B  0.0951  0.0000  0.2265  3 S 1.77-1.86
S  0.0000  0.1925  0.0000  2 B 1.86
S  0.2473  0.0000  0.5233  1 B 1.77

- calculated volume (Å³/f.u.) = 78
- raw formation energy (meV/atom) = -734

# 3
Compound: LiBS2
Source: Alexandria
Functional: PBE
Structure: optimized geometry

abc: 9.5290 8.4777 4.7449
angles: 90.00 103.93 90.00
Closest atoms and distances in Å follow each position.
Space group Cm (No. 8)
Symmetry-distinct sites (fractional):
Li  0.0000  0.2341  0.0000  3 S 2.40-2.54
B  0.0292  0.0000  0.4279  3 S 1.75-1.88
B  0.2528  0.0000  0.7874  3 S 1.74-1.88
S  0.1377  0.1705  0.6172  2 B 1.88
S  0.3817  0.5000  0.1269  1 B 1.75
S  0.4202  0.0000  0.0365  1 B 1.74

- calculated volume (Å³/f.u.) = 93
- raw formation energy (meV/atom) = -731

# 4
Compound: LiBS2
Source: Alexandria
Functional: PBE
Structure: optimized geometry

abc: 5.7766 6.8190 4.0818
angles: 90.00 90.00 90.00
Closest atoms and distances in Å follow each position.
Space group P2_12_12 (No. 18)
Symmetry-distinct sites (fractional):
Li  0.0000  0.0000  0.2494  6 S 2.74-2.76
B  0.0000  0.5000  0.2504  2 S 1.68
S  0.2337  0.6467  0.2504  1 B 1.68

- calculated volume (Å³/f.u.) = 80
- raw formation energy (meV/atom) = -664

# 5
Compound: LiB2S
Source: Alexandria
Functional: PBE
Structure: optimized geometry

abc: 6.0288 6.0288 4.3603
angles: 90.00 90.00 90.00
Closest atoms and distances in Å follow each position.
Space group I-42d (No. 122)
Symmetry-distinct sites (fractional):
Li  0.0000  0.0000  0.0000  2 S 2.18, 4 B 2.42
B  0.1994  0.2500  0.6250  2 S 2.00
S  0.0000  0.0000  0.5000  4 B 2.00, 2 Li 2.18

- calculated volume (Å³/f.u.) = 40
- raw formation energy (meV/atom) = 684

# 6
Compound: LiBS2
Source: Alexandria
Functional: PBE
Structure: optimized geometry

abc: 6.8316 2.9807 6.4397
angles: 90.00 115.80 90.00
Closest atoms and distances in Å follow each position.
Space group C2/m (No. 12)
Symmetry-distinct sites (fractional):
Li  0.0000  0.0000  0.0000  6 S 2.58-2.65
B  0.0000  0.5000  0.5000  4 S 2.02
S  0.1719  0.0000  0.7142  2 B 2.02

- calculated volume (Å³/f.u.) = 59
- raw formation energy (meV/atom) = -200

# 7
Compound: LiBS2
Source: Alexandria
Functional: PBE
Structure: optimized geometry

abc: 6.8685 9.0589 6.4961
angles: 90.00 116.65 90.00
Closest atoms and distances in Å follow each position.
Space group C2/c (No. 15)
Symmetry-distinct sites (fractional):
Li  0.0000  0.1447  0.2500  4 S 2.63-2.71, 1 B 2.68
B  0.0000  0.1516  0.7500  2 S 1.68
S  0.2188  0.1332  0.7012  1 B 1.68

- calculated volume (Å³/f.u.) = 90
- raw formation energy (meV/atom) = -625

# 8
Compound: LiB3S
Source: Alexandria
Functional: PBE
Structure: optimized geometry

abc: 3.8420 3.8420 3.8420
angles: 90.00 90.00 90.00
Closest atoms and distances in Å follow each position.
Space group Pm-3m (No. 221)
Symmetry-distinct sites (fractional):
Li  0.0000  0.0000  0.0000  12 B 2.72
B  0.0000  0.5000  0.5000  2 S 1.92
S  0.5000  0.5000  0.5000  6 B 1.92

- E above lowest polymorph (meV/atom) = 0
- calculated volume (Å³/f.u.) = 57
- raw formation energy (meV/atom) = 1573

# 9
Compound: LiBS
Source: Alexandria
Functional: PBE
Structure: optimized geometry

abc: 5.1926 5.3859 5.7075
angles: 90.00 91.91 90.00
Closest atoms and distances in Å follow each position.
Space group P2_1/c (No. 14)
Symmetry-distinct sites (fractional):
Li  0.2487  0.1576  0.3353  4 B 2.51-2.65, 4 S 2.56-2.81
B  0.1031  0.6051  0.4735  1 B 1.59
S  0.2585  0.6515  0.1799  2 B 1.90-1.92

- calculated volume (Å³/f.u.) = 40
- raw formation energy (meV/atom) = -552

# 10
Compound: LiBS2
Source: Alexandria
Functional: PBE
Structure: optimized geometry

abc: 3.1393 25.5496 3.9032
angles: 90.00 90.00 90.00
Closest atoms and distances in Å follow each position.
Space group Cmcm (No. 63)
Symmetry-distinct sites (fractional):
Li  0.0000  0.2027  0.2500  5 S 2.52-2.65
B  0.0000  0.3769  0.2500  3 S 1.80-1.88
S  0.0000  0.0826  0.7500  2 B 1.88
S  0.0000  0.3065  0.2500  1 B 1.80

- calculated volume (Å³/f.u.) = 78
- raw formation energy (meV/atom) = -662

# 11
Compound: LiBS2
Source: Alexandria
Functional: PBE
Structure: optimized geometry

abc: 6.6807 6.6807 5.2429
angles: 90.00 90.00 90.00
Closest atoms and distances in Å follow each position.
Space group I4/mcm (No. 140)
Symmetry-distinct sites (fractional):
Li  0.0000  0.0000  0.2500  2 Li 2.62, 8 S 2.86
B  0.0000  0.5000  0.2500  4 S 1.94
S  0.1514  0.3486  0.0000  2 B 1.94

- calculated volume (Å³/f.u.) = 58
- raw formation energy (meV/atom) = -687

# 12
Compound: LiBS2
Source: Alexandria
Functional: PBE
Structure: optimized geometry

abc: 5.3672 5.3672 8.2624
angles: 90.00 90.00 90.00
Closest atoms and distances in Å follow each position.
Space group I-42d (No. 122)
Symmetry-distinct sites (fractional):
Li  0.0000  0.0000  0.0000  4 S 2.42
B  0.0000  0.0000  0.5000  4 S 1.94
S  0.1775  0.2500  0.6250  2 B 1.94

- calculated volume (Å³/f.u.) = 60
- raw formation energy (meV/atom) = -802